No. 1
A plane-wave DFT calculation with PBE was carried out for Sr2CeCrS6 after structural relaxation.

Unit cell a=6.771 b=7.110 c=11.758 alpha=90.00 beta=123.82 gamma=90.00
Fractional positions:
Sr 0.221 0.075 0.246
Sr 0.221 0.425 0.746
Sr 0.779 0.575 0.254
Sr 0.779 0.925 0.754
Ce 0.500 0.000 0.000
Ce 0.500 0.500 0.500
Cr 0.000 0.000 0.500
Cr 0.000 0.500 0.000
S 0.135 0.215 0.953
S 0.135 0.285 0.453
S 0.241 0.685 0.954
S 0.241 0.815 0.454
S 0.321 0.014 0.732
S 0.321 0.486 0.232
S 0.679 0.514 0.768
S 0.679 0.986 0.268
S 0.759 0.185 0.546
S 0.759 0.315 0.046
S 0.865 0.715 0.547
S 0.865 0.785 0.047

Properties
Formation energy without anion corrections = -1.4641 eV/atom
E_tot = -5.833 eV per atom



No. 2
A plane-wave DFT calculation with PBE was carried out for Ce2Tl2CrS6 after structural relaxation.

Unit cell a=6.779 b=6.779 c=7.864 alpha=98.73 beta=98.73 gamma=119.23
Fractional positions:
Ce 0.166 0.834 0.000
Ce 0.834 0.166 0.000
Tl 0.327 0.673 0.500
Tl 0.673 0.327 0.500
Cr 0.500 0.500 0.000
S 0.132 0.434 0.811
S 0.272 0.272 0.192
S 0.434 0.132 0.811
S 0.566 0.868 0.189
S 0.728 0.728 0.808
S 0.868 0.566 0.189

Properties
Formation energy without anion corrections = -1.1756 eV/atom
E_tot = -5.811 eV per atom



No. 3
A plane-wave DFT calculation with PBE was carried out for Ce2Tl3CrS6 after structural relaxation.

Unit cell a=6.893 b=6.893 c=7.854 alpha=98.57 beta=98.57 gamma=119.72
Fractional positions:
Ce 0.166 0.834 0.000
Ce 0.834 0.166 0.000
Tl 0.000 0.000 0.500
Tl 0.329 0.671 0.500
Tl 0.671 0.329 0.500
Cr 0.500 0.500 0.000
S 0.132 0.437 0.811
S 0.257 0.257 0.201
S 0.437 0.132 0.811
S 0.563 0.868 0.189
S 0.743 0.743 0.799
S 0.868 0.563 0.189

Properties
Formation energy without anion corrections = -1.0829 eV/atom
E_tot = -5.529 eV per atom



No. 4
A plane-wave DFT calculation with PBE was carried out for Ce2UCrS6 after structural relaxation.

Unit cell a=7.137 b=7.137 c=7.137 alpha=57.52 beta=57.52 gamma=57.52
Fractional positions:
Ce 0.000 0.000 0.000
Ce 0.500 0.500 0.500
U 0.706 0.706 0.706
Cr 0.205 0.205 0.205
S 0.074 0.852 0.425
S 0.334 0.561 0.942
S 0.425 0.074 0.852
S 0.561 0.942 0.334
S 0.852 0.425 0.074
S 0.942 0.334 0.561

Properties
Formation energy without anion corrections = -1.4526 eV/atom
E_tot = -7.207 eV per atom



Among the records above, which one has the highest E_tot? Ce2Tl3CrS6



Please write out number 3 again, unchanged.
A plane-wave DFT calculation with PBE was carried out for Ce2Tl3CrS6 after structural relaxation.

Unit cell a=6.893 b=6.893 c=7.854 alpha=98.57 beta=98.57 gamma=119.72
Fractional positions:
Ce 0.166 0.834 0.000
Ce 0.834 0.166 0.000
Tl 0.000 0.000 0.500
Tl 0.329 0.671 0.500
Tl 0.671 0.329 0.500
Cr 0.500 0.500 0.000
S 0.132 0.437 0.811
S 0.257 0.257 0.201
S 0.437 0.132 0.811
S 0.563 0.868 0.189
S 0.743 0.743 0.799
S 0.868 0.563 0.189

Properties
Formation energy without anion corrections = -1.0829 eV/atom
E_tot = -5.529 eV per atom